No. 1
First-principles (SCAN) data for a crystal of ScCrPt2Pb relaxed with PBEsol, as listed in Alexandria via LeMat-Bulk.

Cell and atoms, written as POSCAR:
```
ScCrPt2Pb
1.0
4.6094 0.0000 0.0000
0.0000 4.6094 0.0000
0.0000 0.0000 4.8646
Sc Cr Pt Pb
1 1 2 1
direct
0.0000 0.0000 0.0000
0.5000 0.5000 0.5000
0.0000 0.5000 0.5000
0.5000 0.0000 0.5000
0.5000 0.5000 0.0000
```

Output
E_form, eV per atom: 0.321
ρ, g/cm3: 11.16
M_tot, μB/f.u.: 0.002
Space-group type: No. 123

---

No. 2
First-principles (SCAN) data for a crystal of CrRe2Pb relaxed with PBEsol, as listed in Alexandria via LeMat-Bulk.

Cell and atoms, written as POSCAR:
```
CrRe2Pb
1.0
1.4575 0.8415 8.8411
-1.4575 0.8415 8.8411
0.0000 -1.6829 8.8411
Cr Re Pb
1 2 1
direct
0.0000 0.0000 0.0000
0.2645 0.2645 0.2645
0.5193 0.5193 0.5193
0.7569 0.7569 0.7569
```

Output
E_form, eV per atom: 0.710
ρ, g/cm3: 16.12
M_tot, μB/f.u.: 2.493
Space-group type: No. 160

---

No. 3
First-principles (SCAN) data for a crystal of CrRePb relaxed with PBEsol, as listed in Alexandria via LeMat-Bulk.

Cell and atoms, written as POSCAR:
```
CrRePb
1.0
0.0000 3.1209 3.1209
3.1209 0.0000 3.1209
3.1209 3.1209 0.0000
Cr Re Pb
1 1 1
direct
0.0000 0.0000 0.0000
0.5000 0.5000 0.5000
0.2500 0.2500 0.2500
```

Output
E_form, eV per atom: 1.309
ρ, g/cm3: 12.17
M_tot, μB/f.u.: 3.630
Space-group type: No. 216